# PBE Rb5Au2O, relaxed
data_Rb5Au2O
_chemical_formula_sum 'Rb20 Au8 O4'
_space_group_name_H-M_alt 'P n m a'
_space_group_IT_number 62
_space_group_name_Hall '-P 2ac 2n'
_cell_length_a 10.400
_cell_length_b 7.896
_cell_length_c 15.563
_cell_angle_alpha 90.00
_cell_angle_beta 90.00
_cell_angle_gamma 90.00
loop_
_atom_site_label
_atom_site_type_symbol
_atom_site_fract_x
_atom_site_fract_y
_atom_site_fract_z
Rb1 Rb 0.000 0.000 0.000
Rb2 Rb 0.051 0.250 0.205
Rb3 Rb 0.162 0.003 0.607
Rb4 Rb 0.235 0.750 0.388
Au1 Au 0.048 0.750 0.200
Au2 Au 0.216 0.250 0.408
O1 O 0.186 0.250 0.058
# DOS(E_F): 11.475 states/eV/cell
# Magnetic moment: 0.000 Bohr magnetons per cell
# Calculated density: 4.35 g cm⁻³
# Raw formation energy: -0.51 eV per atom